[1]
The following is a DFT calculation (PBE) of a relaxed structure of DyTmGa2Ni4.

The structure in extended XYZ format:
```
8
Lattice="4.141 0.000 0.000 -2.070 3.586 0.000 0.000 0.000 8.786" Properties=species:S:1:pos:R:3 pbc="T T T"
Dy 0.000 0.000 0.000
Tm 2.070 1.195 4.393
Ga 0.000 2.391 2.212
Ga 0.000 2.391 6.575
Ni 0.000 0.000 2.778
Ni 0.000 0.000 6.008
Ni 2.070 1.195 1.661
Ni 2.070 1.195 7.125
```

## Properties
symmetry: P-6m2
energy: -5.2551 eV/atom

[2]
The following is a DFT calculation (PBE) of a relaxed structure of LaAlGa2Ir.

The structure in extended XYZ format:
```
5
Lattice="-2.075 2.075 5.601 2.075 -2.075 5.601 2.075 2.075 -5.601" Properties=species:S:1:pos:R:3 pbc="T T T"
La 0.000 0.000 0.000
Al 0.000 2.075 2.801
Ga 0.000 0.000 4.303
Ga 0.000 0.000 6.899
Ir 2.075 0.000 2.801
```

## Properties
symmetry: I-4m2
energy: -5.3344 eV/atom

[3]
The following is a DFT calculation (PBE) of a relaxed structure of LiLuPd2.

The structure in extended XYZ format:
```
8
Lattice="4.548 0.000 0.000 -2.274 3.939 0.000 0.000 0.000 8.210" Properties=species:S:1:pos:R:3 pbc="T T T"
Li 0.000 0.000 2.052
Li 0.000 0.000 6.157
Lu 0.000 2.626 2.052
Lu 2.274 1.313 6.157
Pd 0.000 2.626 4.812
Pd 0.000 2.626 7.503
Pd 2.274 1.313 0.707
Pd 2.274 1.313 3.398
```

## Properties
symmetry: P6_3/mmc
energy relative to the lowest polymorph listed for this composition: 315 meV/atom

[4]
The following is a DFT calculation (PBE) of a relaxed structure of ScFeSiOs.

The structure in extended XYZ format:
```
4
Lattice="0.000 3.013 3.013 3.013 0.000 3.013 3.013 3.013 0.000" Properties=species:S:1:pos:R:3 pbc="T T T"
Sc 0.000 0.000 0.000
Fe 4.520 4.520 4.520
Si 3.013 3.013 3.013
Os 1.507 1.507 1.507
```

## Properties
symmetry: F-43m
energy relative to the lowest polymorph listed for this composition: 0 meV/atom

[5]
The following is a DFT calculation (PBE) of a relaxed structure of NdOsW.

The structure in extended XYZ format:
```
3
Lattice="0.000 3.202 3.202 3.202 0.000 3.202 3.202 3.202 0.000" Properties=species:S:1:pos:R:3 pbc="T T T"
Nd 0.000 0.000 0.000
Os 3.202 3.202 3.202
W 1.601 1.601 1.601
```

## Properties
symmetry: F-43m
energy relative to the lowest polymorph listed for this composition: 0 meV/atom
energy relative to the elements: 2.6 eV/f.u.

[6]
The following is a DFT calculation (PBE) of a relaxed structure of LaPrAsO.

The structure in extended XYZ format:
```
8
Lattice="4.472 0.000 0.000 0.000 4.472 0.000 0.000 0.000 9.521" Properties=species:S:1:pos:R:3 pbc="T T T"
La 1.118 1.118 1.005
La 3.354 3.354 8.517
Pr 1.118 3.354 4.761
Pr 3.354 1.118 4.761
As 1.118 1.118 6.758
As 3.354 3.354 2.764
O 1.118 3.354 0.000
O 3.354 1.118 0.000
```

## Properties
symmetry: P4/nmm
energy relative to the lowest polymorph listed for this composition: 15 meV/atom